Entry from Alexandria via LeMat-Bulk: Ba6Hg2Au after structural relaxation (GGA-PBE).

- DFT formation energy: -0.390 eV per atom
- DOS at the Fermi energy: 21.59 states/eV per cell

Cell: 8.0504 8.9247 14.5054 Å, 90.00 122.93 90.00°
With the nearest neighbours (Å) after each atom.
Space group P2_1/c (No. 14)
Asymmetric unit:
Ba (0.0986, 0.1811, 0.4324) x4  1 Au 3.25, 1 Hg 3.55
Ba (0.2570, 0.6804, 0.4286) x4  1 Au 3.29, 2 Hg 3.56-3.58
Ba (0.3985, 0.0381, 0.2500) x4  1 Au 3.27, 2 Hg 3.49-3.56
Hg (0.1897, 0.1173, 0.7455) x4  6 Ba 3.49-3.64
Au (0.5000, 0.0000, 0.5000) x2  6 Ba 3.25-3.29

Entry from Alexandria via LeMat-Bulk: HoErSb2O8 after structural relaxation (GGA-PBE).

- Formation energy from raw total energies: -2.359 eV/atom
- DOS at the Fermi energy: 0.00 states/eV per cell

Cell: 5.2318 5.2318 11.1374 Å, 90.00 90.00 90.00°
With the nearest neighbours (Å) after each atom.
Space group I-4 (No. 82)
Asymmetric unit:
Ho (0.0000, 0.0000, 0.0000) x2  8 O 2.32-2.40
Er (0.0000, 0.5000, 0.7500) x2  8 O 2.31-2.40
Sb (0.0000, 0.0000, 0.5000) x2  4 O 1.93
Sb (0.0000, 0.5000, 0.2500) x2  4 O 1.93
O (0.1841, 0.2552, 0.5899) x8  1 Sb 1.93
O (0.1854, 0.7550, 0.1605) x8  1 Sb 1.93

Entry from Alexandria via LeMat-Bulk: KSi2Hg after structural relaxation (GGA-PBE).

- Formation energy from raw total energies: 0.240 eV/atom
- DOS at the Fermi energy: 1.58 states/eV per cell

Cell: 3.8419 6.2737 9.4363 Å, 90.00 90.00 90.00°
With the nearest neighbours (Å) after each atom.
Space group Imm2 (No. 44)
Asymmetric unit:
K (0.0000, 0.0000, 0.0000) x2  8 Si 3.45-3.72, 4 Hg 3.55-3.58, 2 K 3.84
Si (0.0000, 0.0000, 0.5612) x2  2 Si 2.31
Si (0.0000, 0.5000, 0.1962) x2  2 Si 2.31
Hg (0.0000, 0.5000, 0.8166) x2  2 Si 3.00

Entry from Alexandria via LeMat-Bulk: ReAu after structural relaxation (GGA-PBE).

- DFT formation energy: 1.985 eV per atom
- DOS at the Fermi energy: 6.71 states/eV per cell
- Excess energy over the best structure of this formula in the dataset: 1841 meV per atom

Cell: 4.4289 4.4289 5.3110 Å, 90.00 90.00 120.00°
With the nearest neighbours (Å) after each atom.
Space group P6_3/mmc (No. 194)
Asymmetric unit:
Re (0.3333, 0.6667, 0.2500) x2  5 Au 2.56-2.66
Au (0.3333, 0.6667, 0.7500) x2  5 Re 2.56-2.66

Calculated volume (Å³/cell), listed in the same order as above: 874.8, 304.9, 227.4, 90.2
Calculated E (eV per atom), listed in the same order as above: -2.103, -7.113, -2.821, -5.877